Compound: TiZnMo
Source: Alexandria
Functional: PBE
Structure: optimized geometry

a b c (Å): 4.3877 4.3872 5.6503
angles (deg): 90.00 90.00 120.00
Last column: nearest neighbours and their distance in Å.
Fractional positions:
Ti 0.3405 0.4798 0.2935  3 Mo 2.71, 2 Ti 2.71-2.94, 3 Zn 2.76
Ti 0.3405 0.4797 0.7737  3 Mo 2.71, 2 Ti 2.71-2.94, 3 Zn 2.76
Zn 0.0073 0.8131 0.1015  3 Zn 2.65, 3 Ti 2.76, 2 Mo 2.81-2.84
Zn 0.6740 0.1465 0.9657  3 Zn 2.65, 3 Ti 2.76, 2 Mo 2.81-2.84
Mo 0.6738 0.1465 0.4631  3 Mo 2.65-2.66, 3 Ti 2.71, 2 Zn 2.81-2.84
Mo 0.0072 0.8131 0.6041  3 Mo 2.65-2.66, 3 Ti 2.71, 2 Zn 2.81-2.84

The value obtained for the formation energy from the elements is 0.014 eV/atom. For the raw total energy, the calculation gives -6.6522 eV/atom. As for the symmetry: P-3m1 (164).

***

Compound: LiOs2Pb
Source: Alexandria
Functional: PBE
Structure: optimized geometry

a b c (Å): 5.4065 5.4065 5.4065
angles (deg): 146.70 129.64 61.72
Last column: nearest neighbours and their distance in Å.
Fractional positions:
Li 0.2395 0.7395 0.5000  6 Os 2.78, 2 Pb 2.92, 2 Li 3.10
Os 0.9902 0.9902 0.0000  2 Os 2.61, 4 Pb 2.78, 2 Li 2.78
Os 0.7639 0.2639 0.5000  2 Os 2.61, 4 Li 2.78, 2 Pb 2.85
Pb 0.5065 0.5065 0.0000  6 Os 2.78-2.85, 2 Li 2.92, 2 Pb 3.10

The value obtained for the formation energy from the elements is 0.760 eV/atom. For the raw total energy, the calculation gives -6.2603 eV/atom. As for the symmetry: Imm2 (44).

***

Compound: YTlCuAg
Source: Alexandria
Functional: PBE
Structure: optimized geometry

a b c (Å): 4.8915 4.8915 4.8915
angles (deg): 60.00 60.00 60.00
Last column: nearest neighbours and their distance in Å.
Fractional positions:
Y 0.7500 0.7500 0.7500  4 Cu 3.00, 4 Ag 3.00
Tl 0.2500 0.2500 0.2500  4 Cu 3.00, 4 Ag 3.00
Cu 0.0000 0.0000 0.0000  4 Tl 3.00, 4 Y 3.00
Ag 0.5000 0.5000 0.5000  4 Y 3.00, 4 Tl 3.00

The value obtained for the formation energy from the elements is -0.182 eV/atom. For the raw total energy, the calculation gives -4.1266 eV/atom. As for the symmetry: F-43m (216).

***

Compound: LaNiBr2
Source: Alexandria
Functional: PBE
Structure: optimized geometry

a b c (Å): 4.6696 4.6696 4.1422
angles (deg): 90.00 90.00 90.00
Last column: nearest neighbours and their distance in Å.
Fractional positions:
Br 0.0000 0.0000 0.0000  4 La 3.12, 4 Ni 3.12, 4 Br 3.30
Br 0.5000 0.5000 0.0000  4 La 3.12, 4 Ni 3.12, 4 Br 3.30
La 0.5000 0.0000 0.5000  8 Br 3.12, 4 Ni 3.30
Ni 0.0000 0.5000 0.5000  8 Br 3.12, 4 La 3.30

For the raw total energy, the calculation gives -4.1793 eV/atom. As for the symmetry: P4/mmm (123).

***

Compound: PmZn9Ni2
Source: Alexandria
Functional: PBE
Structure: optimized geometry

a b c (Å): 3.3922 8.1508 8.1508
angles (deg): 120.00 90.00 90.00
Last column: nearest neighbours and their distance in Å.
Fractional positions:
Pm 0.0000 0.0000 0.0000  12 Zn 3.26, 2 Pm 3.39
Zn 0.5000 0.8031 0.1969  2 Ni 2.57, 6 Zn 2.76-2.78
Zn 0.0000 0.0000 0.5000  2 Ni 2.35
Zn 0.0000 0.5000 0.5000  2 Ni 2.35
Zn 0.5000 0.8031 0.6061  2 Ni 2.57, 6 Zn 2.76-2.78
Zn 0.5000 0.1969 0.8031  2 Ni 2.57, 6 Zn 2.76-2.78
Zn 0.5000 0.6061 0.8031  2 Ni 2.57, 6 Zn 2.76-2.78
Zn 0.5000 0.1969 0.3939  2 Ni 2.57, 6 Zn 2.76-2.78
Zn 0.0000 0.5000 0.0000  2 Ni 2.35
Zn 0.5000 0.3939 0.1969  2 Ni 2.57, 6 Zn 2.76-2.78
Ni 0.0000 0.6667 0.3333  9 Zn 2.35-2.57
Ni 0.0000 0.3333 0.6667  9 Zn 2.35-2.57

The value obtained for the formation energy from the elements is -0.166 eV/atom. For the raw total energy, the calculation gives -2.4805 eV/atom. As for the symmetry: P6/mmm (191).

***

Compound: Li6Ag5Au
Source: Alexandria
Functional: PBE
Structure: optimized geometry

a b c (Å): 4.4486 6.4315 6.9938
angles (deg): 90.00 71.46 90.00
Last column: nearest neighbours and their distance in Å.
Fractional positions:
Au 0.0000 0.0000 0.0000  8 Li 2.69-2.72
Ag 0.6680 0.5000 0.6641  8 Li 2.76-2.77
Ag 0.3316 0.0000 0.3369  8 Li 2.73
Ag 0.0000 0.5000 0.0000  8 Li 2.72-2.77
Ag 0.6684 0.0000 0.6631  8 Li 2.73
Ag 0.3320 0.5000 0.3359  8 Li 2.76-2.77
Li 0.8359 0.7536 0.3282  1 Au 2.69, 7 Ag 2.72-2.76
Li 0.8359 0.2464 0.3282  1 Au 2.69, 7 Ag 2.72-2.76
Li 0.5000 0.2437 0.0000  2 Au 2.72, 6 Ag 2.73-2.77
Li 0.5000 0.7563 0.0000  2 Au 2.72, 6 Ag 2.73-2.77
Li 0.1641 0.7536 0.6718  1 Au 2.69, 7 Ag 2.72-2.76
Li 0.1641 0.2464 0.6718  1 Au 2.69, 7 Ag 2.72-2.76

The value obtained for the formation energy from the elements is -0.275 eV/atom. For the raw total energy, the calculation gives -2.6931 eV/atom. As for the symmetry: Cmmm (65).